This record from the Alexandria database describes an optimized crystal structure of Rb2MnI6F. The functional is PBE with a Hubbard U.

Space-group type ... I4/mmm
Final energy ... -2.864 eV/atom
Calculated density ... 4.1 Mg/m³

Lattice parameters (Å, degrees): 8.1679 8.1679 8.1679 116.31 116.31 96.53
Last column: nearest neighbours and their distance in Å.
Sites, in units of the cell vectors:
Rb (0.2500, 0.7500, 0.5000)  12 I 4.10-4.33
Rb (0.7500, 0.2500, 0.5000)  12 I 4.10-4.33
Mn (0.0000, 0.0000, 0.0000)  4 I 2.73
I (0.2238, 0.2238, 0.4476)  1 Mn 2.73
I (0.2238, 0.7762, 0.0000)  1 Mn 2.73
I (0.2876, 0.2876, 0.0000)  1 F 2.31
I (0.7124, 0.7124, 0.0000)  1 F 2.31
I (0.7762, 0.2238, 0.0000)  1 Mn 2.73
I (0.7762, 0.7762, 0.5524)  1 Mn 2.73
F (0.5000, 0.5000, 0.0000)  2 I 2.31